No. 1
Material: KY3Se
Method: DFT, PBEsol
State: relaxed

a = 5.522 Å, b = 5.522 Å, c = 5.522 Å
α = 90.00°, β = 90.00°, γ = 90.00°
Positions (direct):
1 Se 0.000 0.000 0.000
2 Y 0.500 0.000 0.000
3 Y 0.000 0.500 0.000
4 Y 0.000 0.000 0.500
5 K 0.500 0.500 0.500

Values from the calculation:
The space-group type is Pm-3m (221). The value obtained for the magnetic moment is 0.00 μB per atom. For the volume, the calculation gives 168 Å³/f.u. Its total energy is -26.60 eV per cell.



No. 2
Material: KYSe2
Method: DFT, PBEsol
State: relaxed

a = 3.589 Å, b = 3.589 Å, c = 7.811 Å
α = 90.00°, β = 90.00°, γ = 90.00°
Positions (direct):
1 K 0.500 0.500 0.500
2 Se 0.000 0.000 0.790
3 Se 0.000 0.000 0.210
4 Y 0.500 0.500 0.000

Values from the calculation:
The space-group type is P4/mmm (123). The value obtained for the magnetic moment is 0.00 μB per atom. For the volume, the calculation gives 101 Å³/f.u. Its total energy is -21.75 eV per cell.



No. 3
Material: KY2Se
Method: DFT, PBEsol
State: relaxed

a = 3.803 Å, b = 3.854 Å, c = 9.425 Å
α = 101.45°, β = 90.00°, γ = 90.00°
Last column: magnetic moment on the atom in μB.
Positions (direct):
1 Y 0.000 0.911 0.942  0.20
2 Y 0.500 0.523 0.174  0.28
3 K 0.000 0.201 0.538  0.01
4 Se 0.500 0.365 0.846  0.01

Values from the calculation:
The space-group type is Pm (6). The value obtained for the magnetic moment is 0.22 μB per atom. For the volume, the calculation gives 135 Å³/f.u. Its total energy is -21.38 eV per cell.



> Number 1 is which compound?

KY3Se